(1)
Compound: LaCu3Ag
Source: the Alexandria database
Functional: PBE
Structure: optimized geometry

a b c (Å): 5.2353 5.2353 5.2353
angles (deg): 90.00 90.00 90.00
Positions (direct):
Ag1 0.5000 0.5000 0.5000
Cu1 0.0000 0.5000 0.0000
La1 0.0000 0.0000 0.0000
Cu2 0.0000 0.0000 0.5000
Cu3 0.5000 0.0000 0.0000

Energy, eV per cell: -14.03
Fermi-level density of states, states/eV/atom: 0.5318
Size of the total moment, μB per cell: 0.00
Energy relative to the lowest polymorph listed for this composition, meV per atom: 892.7

---

(2)
Compound: La2Cu3Ag
Source: the Alexandria database
Functional: PBE
Structure: optimized geometry

a b c (Å): 5.8964 5.8964 8.6164
angles (deg): 106.81 106.81 98.89
Positions (direct):
Ag1 0.3337 0.3337 0.6673
La1 0.2468 0.2468 0.0000
Cu1 0.8389 0.3232 0.1622
Cu2 0.3232 0.8389 0.1622
Cu3 0.1616 0.1616 0.3233
Ag2 0.6663 0.6663 0.3327
La2 0.7500 0.2500 0.5000
Cu4 0.1611 0.6768 0.8378
Cu5 0.8384 0.8384 0.6767
Cu6 0.6768 0.1611 0.8378
La3 0.7532 0.7532 0.0000
La4 0.2500 0.7500 0.5000

Energy, eV per cell: -52.65
Fermi-level density of states, states/eV/atom: 0.5942
Size of the total moment, μB per cell: 0.00

---

(3)
Compound: La2CuAg
Source: the Alexandria database
Functional: PBE
Structure: optimized geometry

a b c (Å): 5.3080 5.3080 5.3080
angles (deg): 60.00 60.00 60.00
Positions (direct):
La1 0.7500 0.7500 0.7500
La2 0.2500 0.2500 0.2500
Ag1 0.5000 0.5000 0.5000
Cu1 0.0000 0.0000 0.0000

Energy, eV per cell: -17.51
Fermi-level density of states, states/eV/atom: 0.8622
Size of the total moment, μB per cell: 0.00
Energy relative to the lowest polymorph listed for this composition, meV per atom: 23.5

---

(4)
Compound: La2CuAg
Source: the Alexandria database
Functional: PBE
Structure: optimized geometry

a b c (Å): 5.0545 5.0545 5.0545
angles (deg): 119.90 119.90 90.17
Positions (direct):
Cu1 0.7500 0.2500 0.5000
La1 0.0000 0.0000 0.0000
Ag1 0.5000 0.5000 0.0000
La2 0.2500 0.7500 0.5000

Energy, eV per cell: -17.13
Fermi-level density of states, states/eV/atom: 0.2001
Size of the total moment, μB per cell: 0.00
Energy relative to the lowest polymorph listed for this composition, meV per atom: 117.2

---

(5)
Compound: La2CuAg
Source: the Alexandria database
Functional: PBE
Structure: optimized geometry

a b c (Å): 3.6318 3.6318 8.0174
angles (deg): 90.00 90.00 90.00
Positions (direct):
La1 0.5000 0.5000 0.3066
Ag1 0.0000 0.0000 0.5524
Cu1 0.5000 0.5000 0.7064
La2 0.0000 0.0000 0.9345

Energy, eV per cell: -17.02
Fermi-level density of states, states/eV/atom: 0.8226
Size of the total moment, μB per cell: 0.00
Energy relative to the lowest polymorph listed for this composition, meV per atom: 145.3

---

(6)
Compound: La2Cu2Ag3
Source: the Alexandria database
Functional: PBE
Structure: optimized geometry

a b c (Å): 4.1756 5.5986 7.1306
angles (deg): 97.25 90.00 111.90
Positions (direct):
La1 0.3745 0.7491 0.6755
La2 0.6255 0.2509 0.3245
Ag1 0.3155 0.6309 0.1338
Ag2 0.0000 0.0000 0.0000
Ag3 0.6845 0.3691 0.8662
Cu1 0.0832 0.1664 0.6474
Cu2 0.9168 0.8336 0.3526

Energy, eV per cell: -27.94
Fermi-level density of states, states/eV/atom: 0.6414
Size of the total moment, μB per cell: 0.00

---

Number 1: ΔH_f (0 K) 116.56 kJ/mol of atoms, calculated density 5.06 g/cm³. Number 2: ΔH_f (0 K) -21.38 kJ/mol of atoms, calculated density 7.22 g/cm³. Number 3: ΔH_f (0 K) -17.01 kJ/mol of atoms, calculated density 7.05 g/cm³. Number 4: ΔH_f (0 K) -7.97 kJ/mol of atoms, calculated density 8.16 g/cm³. Number 5: ΔH_f (0 K) -5.26 kJ/mol of atoms, calculated density 7.05 g/cm³. Number 6: ΔH_f (0 K) -18.45 kJ/mol of atoms, calculated density 7.89 g/cm³.